[1]
Compound: LiSiNiTe2
Source: Alexandria
Functional: PBE
Structure: optimized geometry

Unit cell a=5.3281 b=4.2572 c=5.3281 alpha=90.00 beta=90.00 gamma=90.00
Fractional coordinates of all 5 atoms:
Ni (0.0000, 0.0000, 0.0000)
Si (0.0000, 0.5000, 0.0000)
Te (0.0000, 0.0000, 0.5000)
Te (0.5000, 0.0000, 0.0000)
Li (0.5000, 0.5000, 0.5000)

**SG**: P4/mmm
**Uncorrected energy**: -19.34 eV per cell

=====

[2]
Compound: Li3Th2SiNi12
Source: Alexandria
Functional: PBE
Structure: optimized geometry

Unit cell a=8.8680 b=8.8680 c=8.8680 alpha=40.03 beta=40.03 gamma=40.03
Fractional coordinates of all 18 atoms:
Li (0.5000, 0.0000, 0.0000)
Li (0.0000, 0.5000, 0.0000)
Li (0.0000, 0.0000, 0.5000)
Th (0.6498, 0.6498, 0.6498)
Th (0.3502, 0.3502, 0.3502)
Si (0.0000, 0.0000, 0.0000)
Ni (0.4210, 0.4210, 0.8095)
Ni (0.9197, 0.9197, 0.3591)
Ni (0.3591, 0.9197, 0.9197)
Ni (0.8095, 0.4210, 0.4210)
Ni (0.9197, 0.3591, 0.9197)
Ni (0.4210, 0.8095, 0.4210)
Ni (0.5790, 0.5790, 0.1905)
Ni (0.0803, 0.0803, 0.6409)
Ni (0.6409, 0.0803, 0.0803)
Ni (0.1905, 0.5790, 0.5790)
Ni (0.0803, 0.6409, 0.0803)
Ni (0.5790, 0.1905, 0.5790)

**SG**: R-3m
**Uncorrected energy**: -95.41 eV per cell

=====

[3]
Compound: LiTiSiNi
Source: Alexandria
Functional: PBE
Structure: optimized geometry

Unit cell a=4.1157 b=4.1157 c=4.1157 alpha=60.00 beta=60.00 gamma=60.00
Fractional coordinates of all 4 atoms:
Ni (0.5000, 0.5000, 0.5000)
Si (0.2500, 0.2500, 0.2500)
Li (0.0000, 0.0000, 0.0000)
Ti (0.7500, 0.7500, 0.7500)

**SG**: F-43m
**Uncorrected energy**: -22.81 eV per cell

=====

[4]
Compound: LiTmSi2Ni
Source: Alexandria
Functional: PBE
Structure: optimized geometry

Unit cell a=3.9118 b=3.9118 c=5.7265 alpha=109.97 beta=109.97 gamma=90.00
Fractional coordinates of all 5 atoms:
Li (0.2500, 0.7500, 0.5000)
Tm (0.0000, 0.0000, 0.0000)
Si (0.6173, 0.6173, 0.2345)
Si (0.3827, 0.3827, 0.7655)
Ni (0.7500, 0.2500, 0.5000)

**SG**: I-4m2
**Uncorrected energy**: -26.19 eV per cell

=====

[5]
Compound: LiTmSiNi
Source: Alexandria
Functional: PBE
Structure: optimized geometry

Unit cell a=4.3621 b=4.3621 c=4.3621 alpha=60.00 beta=60.00 gamma=60.00
Fractional coordinates of all 4 atoms:
Ni (0.5000, 0.5000, 0.5000)
Si (0.7500, 0.7500, 0.7500)
Tm (0.2500, 0.2500, 0.2500)
Li (0.0000, 0.0000, 0.0000)

**SG**: F-43m
**Uncorrected energy**: -19.81 eV per cell

=====

[6]
Compound: LiY2Si3Ni12
Source: Alexandria
Functional: PBE
Structure: optimized geometry

Unit cell a=6.2356 b=6.2356 c=6.2356 alpha=84.33 beta=84.33 gamma=84.33
Fractional coordinates of all 18 atoms:
Li (0.0000, 0.0000, 0.0000)
Y (0.6528, 0.6528, 0.6528)
Y (0.3472, 0.3472, 0.3472)
Si (0.5000, 0.0000, 0.0000)
Si (0.0000, 0.5000, 0.0000)
Si (0.0000, 0.0000, 0.5000)
Ni (0.3842, 0.3842, 0.9029)
Ni (0.8144, 0.8144, 0.2930)
Ni (0.2930, 0.8144, 0.8144)
Ni (0.9029, 0.3842, 0.3842)
Ni (0.8144, 0.2930, 0.8144)
Ni (0.3842, 0.9029, 0.3842)
Ni (0.6158, 0.6158, 0.0971)
Ni (0.1856, 0.1856, 0.7070)
Ni (0.7070, 0.1856, 0.1856)
Ni (0.0971, 0.6158, 0.6158)
Ni (0.1856, 0.7070, 0.1856)
Ni (0.6158, 0.0971, 0.6158)

**SG**: R-3m
**Uncorrected energy**: -104.06 eV per cell

=====

[7]
Compound: LiZnSi2Ni
Source: Alexandria
Functional: PBE
Structure: optimized geometry

Unit cell a=4.3790 b=4.5760 c=4.3790 alpha=90.00 beta=90.00 gamma=90.00
Fractional coordinates of all 5 atoms:
Ni (0.0000, 0.0000, 0.0000)
Zn (0.0000, 0.5000, 0.0000)
Si (0.0000, 0.0000, 0.5000)
Si (0.5000, 0.0000, 0.0000)
Li (0.5000, 0.5000, 0.5000)

**SG**: P4/mmm
**Uncorrected energy**: -19.15 eV per cell

=====

[8]
Compound: Li2ZnSi2Ni5
Source: Alexandria
Functional: PBE
Structure: optimized geometry

Unit cell a=3.3434 b=8.6144 c=8.6144 alpha=90.00 beta=90.00 gamma=90.00
Fractional coordinates of all 20 atoms:
Li (0.0000, 0.6706, 0.1706)
Li (0.0000, 0.3294, 0.8294)
Li (0.0000, 0.1706, 0.3294)
Li (0.0000, 0.8294, 0.6706)
Zn (0.0000, 0.0000, 0.0000)
Zn (0.0000, 0.5000, 0.5000)
Si (0.0000, 0.1275, 0.6275)
Si (0.0000, 0.8725, 0.3725)
Si (0.0000, 0.6275, 0.8725)
Si (0.0000, 0.3725, 0.1275)
Ni (0.5000, 0.2042, 0.0720)
Ni (0.5000, 0.7958, 0.9280)
Ni (0.5000, 0.0720, 0.7958)
Ni (0.5000, 0.7042, 0.4280)
Ni (0.5000, 0.9280, 0.2042)
Ni (0.5000, 0.2958, 0.5720)
Ni (0.5000, 0.5720, 0.7042)
Ni (0.5000, 0.4280, 0.2958)
Ni (0.5000, 0.5000, 0.0000)
Ni (0.5000, 0.0000, 0.5000)

**SG**: P4/mbm
**Uncorrected energy**: -96.08 eV per cell

=====

[9]
Compound: Li2SmNi
Source: Alexandria
Functional: PBE
Structure: optimized geometry

Unit cell a=3.0071 b=3.0071 c=10.2959 alpha=81.60 beta=81.60 gamma=60.00
Site moments in Bohr magnetons follow the coordinates.
Fractional coordinates of all 4 atoms:
Ni (0.5000, 0.5000, 0.5000)  0.28
Sm (0.0000, 0.0000, 0.0000)  0.23
Li (0.1040, 0.1040, 0.6879)  0.00
Li (0.8960, 0.8960, 0.3121)  0.00

**SG**: R-3m
**Uncorrected energy**: -12.73 eV per cell
**Energy relative to the elements**: 0.400 eV per atom

=====

[10]
Compound: LiSmNi10
Source: Alexandria
Functional: PBE
Structure: optimized geometry

Unit cell a=3.9757 b=4.8077 c=8.3494 alpha=90.00 beta=90.00 gamma=90.00
Site moments in Bohr magnetons follow the coordinates.
Fractional coordinates of all 12 atoms:
Li (0.0000, 0.5000, 0.5000)  -0.01
Sm (0.0000, 0.0000, 0.0000)  -0.08
Ni (0.0000, 0.0000, 0.3441)  0.45
Ni (0.0000, 0.5000, 0.8162)  0.38
Ni (0.0000, 0.5000, 0.1838)  0.38
Ni (0.0000, 0.0000, 0.6559)  0.45
Ni (0.5000, 0.0000, 0.5000)  0.51
Ni (0.5000, 0.5000, 0.0000)  0.46
Ni (0.5000, 0.2502, 0.2538)  0.48
Ni (0.5000, 0.7498, 0.7462)  0.48
Ni (0.5000, 0.7498, 0.2538)  0.48
Ni (0.5000, 0.2502, 0.7462)  0.48

**SG**: Pmmm
**Uncorrected energy**: -65.46 eV per cell
**Energy relative to the elements**: -0.084 eV per atom

=====

[11]
Compound: LiSmNi5
Source: Alexandria
Functional: PBE
Structure: optimized geometry

Unit cell a=4.8732 b=7.9404 c=10.0764 alpha=90.00 beta=90.00 gamma=90.00
Site moments in Bohr magnetons follow the coordinates.
Fractional coordinates of all 28 atoms:
Li (0.2500, 0.8652, 0.8549)  -0.01
Li (0.7500, 0.6348, 0.3549)  -0.01
Li (0.2500, 0.3652, 0.6451)  -0.01
Li (0.7500, 0.1348, 0.1451)  -0.01
Sm (0.2500, 0.2418, 0.9407)  -0.04
Sm (0.7500, 0.2582, 0.4407)  -0.04
Sm (0.2500, 0.7418, 0.5593)  -0.04
Sm (0.7500, 0.7582, 0.0593)  -0.04
Ni (0.2500, 0.5950, 0.0181)  0.22
Ni (0.7500, 0.9050, 0.5181)  0.22
Ni (0.2500, 0.0950, 0.4819)  0.22
Ni (0.7500, 0.4050, 0.9819)  0.22
Ni (0.7500, 0.3188, 0.7506)  0.31
Ni (0.2500, 0.1812, 0.2506)  0.31
Ni (0.7500, 0.8188, 0.7494)  0.31
Ni (0.2500, 0.6812, 0.2494)  0.31
Ni (0.2500, 0.9380, 0.1065)  0.10
Ni (0.7500, 0.5620, 0.6065)  0.10
Ni (0.2500, 0.4380, 0.3935)  0.10
Ni (0.7500, 0.0620, 0.8935)  0.10
Ni (0.9980, 0.4283, 0.1859)  0.29
Ni (0.0020, 0.0717, 0.6859)  0.29
Ni (0.5020, 0.9283, 0.3141)  0.29
Ni (0.4980, 0.5717, 0.8141)  0.29
Ni (0.0020, 0.5717, 0.8141)  0.29
Ni (0.9980, 0.9283, 0.3141)  0.29
Ni (0.4980, 0.0717, 0.6859)  0.29
Ni (0.5020, 0.4283, 0.1859)  0.29

**SG**: Pnma
**Uncorrected energy**: -147.44 eV per cell
**Energy relative to the elements**: -0.188 eV per atom

=====

[12]
Compound: LiSm6Ni2
Source: Alexandria
Functional: PBE
Structure: optimized geometry

Unit cell a=8.5627 b=8.5627 c=8.5627 alpha=106.14 beta=109.45 gamma=112.90
Fractional coordinates of all 18 atoms:
Li (0.0000, 0.5000, 0.5000)
Li (0.0000, 0.0000, 0.0000)
Sm (0.5270, 0.7074, 0.8196)
Sm (0.4730, 0.2926, 0.1804)
Sm (0.1122, 0.2926, 0.8196)
Sm (0.8878, 0.7074, 0.1804)
Sm (0.8013, 0.7732, 0.5746)
Sm (0.1987, 0.2268, 0.4254)
Sm (0.1987, 0.7732, 0.9719)
Sm (0.8013, 0.2268, 0.0281)
Sm (0.6903, 0.3692, 0.6788)
Sm (0.3097, 0.6308, 0.3212)
Sm (0.3097, 0.9885, 0.6788)
Sm (0.6903, 0.0115, 0.3212)
Ni (0.5000, 0.3778, 0.8778)
Ni (0.5000, 0.6222, 0.1222)
Ni (0.6516, 0.0000, 0.6516)
Ni (0.3484, 0.0000, 0.3484)

**SG**: Immm
**Uncorrected energy**: -86.25 eV per cell
**Energy relative to the elements**: -0.148 eV per atom

=====

uncorrected energy of number 3 (LiTiSiNi)?
-22.81 eV per cell